# PBE-GGA ScTe2Au, optimized geometry
# * total moment: 0.000 μB per formula unit
# * E_form (uncorrected): -0.609 eV/atom
# * DFT total energy: -4.582 eV per atom
data_ScTe2Au
_symmetry_space_group_name_H-M 'P 1 2/m 1'
_symmetry_Int_Tables_number 10
_cell_length_a 4.178
_cell_length_b 4.163
_cell_length_c 5.929
_cell_angle_alpha 90.00
_cell_angle_beta 90.31
_cell_angle_gamma 90.00
loop_
_symmetry_equiv_pos_as_xyz
'x,y,z'
'-x,-y,-z'
'-x,y,-z'
'x,-y,z'
loop_
_atom_site_label
_atom_site_type_symbol
_atom_site_fract_x
_atom_site_fract_y
_atom_site_fract_z
Sc1 Sc 0.000 0.000 0.000
Te1 Te 0.000 0.000 0.500
Te2 Te 0.500 0.500 0.000
Au1 Au 0.500 0.500 0.500



# PBE-GGA ScTe3Au2, optimized geometry
# * total moment: 0.000 μB per formula unit
# * E_form (uncorrected): -0.515 eV/atom
# * DFT total energy: -4.234 eV per atom
# * polymorph energy (0 for the lowest one): 5 meV per atom
data_ScTe3Au2
_symmetry_space_group_name_H-M 'P 1 21/m 1'
_symmetry_Int_Tables_number 11
_cell_length_a 7.843
_cell_length_b 4.074
_cell_length_c 11.150
_cell_angle_alpha 90.00
_cell_angle_beta 104.72
_cell_angle_gamma 90.00
loop_
_symmetry_equiv_pos_as_xyz
'x,y,z'
'-x,-y,-z'
'-x,y+1/2,-z'
'x,-y+1/2,z'
loop_
_atom_site_label
_atom_site_type_symbol
_atom_site_fract_x
_atom_site_fract_y
_atom_site_fract_z
Sc1 Sc 0.213 0.250 0.206
Te1 Te 0.044 0.750 0.331
Te2 Te 0.304 0.750 0.028
Te3 Te 0.413 0.750 0.675
Au1 Au 0.067 0.250 0.923
Au2 Au 0.408 0.750 0.410



# PBE-GGA ScTeAu, optimized geometry
# * total moment: 0.000 μB per formula unit
# * E_form (uncorrected): -0.641 eV/atom
# * DFT total energy: -4.891 eV per atom
data_ScTeAu
_symmetry_space_group_name_H-M 'I 4 m m'
_symmetry_Int_Tables_number 107
_symmetry_space_group_name_Hall 'I 4 -2'
_cell_length_a 3.721
_cell_length_b 3.721
_cell_length_c 9.734
_cell_angle_alpha 90.00
_cell_angle_beta 90.00
_cell_angle_gamma 90.00
loop_
_atom_site_label
_atom_site_type_symbol
_atom_site_fract_x
_atom_site_fract_y
_atom_site_fract_z
Sc1 Sc 0.000 0.000 0.000
Te1 Te 0.000 0.000 0.660
Au1 Au 0.000 0.000 0.346



# PBE-GGA ScTe2Au, optimized geometry
# * total moment: 0.000 μB per formula unit
# * E_form (uncorrected): -0.211 eV/atom
# * DFT total energy: -4.184 eV per atom
data_ScTe2Au
_symmetry_space_group_name_H-M 'F -4 3 m'
_symmetry_Int_Tables_number 216
_symmetry_space_group_name_Hall 'F -4 2 3'
_cell_length_a 7.298
_cell_length_b 7.298
_cell_length_c 7.298
_cell_angle_alpha 90.00
_cell_angle_beta 90.00
_cell_angle_gamma 90.00
loop_
_atom_site_label
_atom_site_type_symbol
_atom_site_fract_x
_atom_site_fract_y
_atom_site_fract_z
Sc1 Sc 0.000 0.000 0.000
Te1 Te 0.000 0.000 0.500
Te2 Te 0.250 0.250 0.750
Au1 Au 0.250 0.250 0.250



# PBE-GGA ScTe4Au2, optimized geometry
# * total moment: 0.000 μB per formula unit
# * E_form (uncorrected): -0.089 eV/atom
# * DFT total energy: -3.725 eV per atom
data_ScTe4Au2
_symmetry_space_group_name_H-M 'I 4/m m m'
_symmetry_Int_Tables_number 139
_symmetry_space_group_name_Hall '-I 4 2'
_cell_length_a 5.609
_cell_length_b 5.609
_cell_length_c 13.751
_cell_angle_alpha 90.00
_cell_angle_beta 90.00
_cell_angle_gamma 90.00
loop_
_atom_site_label
_atom_site_type_symbol
_atom_site_fract_x
_atom_site_fract_y
_atom_site_fract_z
Sc1 Sc 0.000 0.000 0.000
Te1 Te 0.000 0.000 0.214
Te2 Te 0.000 0.500 0.000
Au1 Au 0.000 0.000 0.404



# PBE-GGA ScTe2Au, optimized geometry
# * total moment: 0.000 μB per formula unit
# * E_form (uncorrected): -0.686 eV/atom
# * DFT total energy: -4.659 eV per atom
data_ScTe2Au
_symmetry_space_group_name_H-M 'I m m 2'
_symmetry_Int_Tables_number 44
_cell_length_a 3.880
_cell_length_b 4.034
_cell_length_c 14.845
_cell_angle_alpha 90.00
_cell_angle_beta 90.00
_cell_angle_gamma 90.00
loop_
_symmetry_equiv_pos_as_xyz
'x,y,z'
'-x,-y,z'
'-x,y,z'
'x,-y,z'
'x+1/2,y+1/2,z+1/2'
'-x+1/2,-y+1/2,z+1/2'
'-x+1/2,y+1/2,z+1/2'
'x+1/2,-y+1/2,z+1/2'
loop_
_atom_site_label
_atom_site_type_symbol
_atom_site_fract_x
_atom_site_fract_y
_atom_site_fract_z
Sc1 Sc 0.000 0.000 0.000
Te1 Te 0.000 0.000 0.423
Te2 Te 0.000 0.500 0.661
Au1 Au 0.000 0.500 0.153



# PBE-GGA ScTe2Au, optimized geometry
# * total moment: 0.000 μB per formula unit
# * E_form (uncorrected): -0.599 eV/atom
# * DFT total energy: -4.572 eV per atom
data_ScTe2Au
_symmetry_space_group_name_H-M 'I -4 2 d'
_symmetry_Int_Tables_number 122
_symmetry_space_group_name_Hall 'I -4 2bw'
_cell_length_a 6.389
_cell_length_b 6.389
_cell_length_c 13.208
_cell_angle_alpha 90.00
_cell_angle_beta 90.00
_cell_angle_gamma 90.00
loop_
_atom_site_label
_atom_site_type_symbol
_atom_site_fract_x
_atom_site_fract_y
_atom_site_fract_z
Sc1 Sc 0.000 0.000 0.000
Te1 Te 0.246 0.250 0.625
Au1 Au 0.000 0.000 0.500



# PBE-GGA Sc3Tl3Te8Au, optimized geometry
# * total moment: 0.000 μB per formula unit
# * E_form (uncorrected): -0.681 eV/atom
# * DFT total energy: -4.315 eV per atom
data_Sc3Tl3Te8Au
_symmetry_space_group_name_H-M 'R -3 m'
_symmetry_Int_Tables_number 166
_symmetry_space_group_name_Hall '-R 3 2"'
_cell_length_a 8.3748
_cell_length_b 8.3748
_cell_length_c 24.6227
_cell_angle_alpha 90.00
_cell_angle_beta 90.00
_cell_angle_gamma 120.00
loop_
_atom_site_label
_atom_site_type_symbol
_atom_site_fract_x
_atom_site_fract_y
_atom_site_fract_z
Sc1 Sc 0.0000 0.5000 0.0000
Tl1 Tl 0.0000 0.5000 0.5000
Te1 Te 0.0000 0.0000 0.2650
Te2 Te 0.0015 0.5008 0.7329
Au1 Au 0.0000 0.0000 0.0000



# PBE-GGA ScTlTe3Au, optimized geometry
# * total moment: 0.000 μB per formula unit
# * E_form (uncorrected): -0.607 eV/atom
# * DFT total energy: -4.174 eV per atom
data_ScTlTe3Au
_symmetry_space_group_name_H-M 'P 1 21/m 1'
_symmetry_Int_Tables_number 11
_cell_length_a 9.145
_cell_length_b 4.128
_cell_length_c 10.408
_cell_angle_alpha 90.00
_cell_angle_beta 110.97
_cell_angle_gamma 90.00
loop_
_symmetry_equiv_pos_as_xyz
'x,y,z'
'-x,-y,-z'
'-x,y+1/2,-z'
'x,-y+1/2,z'
loop_
_atom_site_label
_atom_site_type_symbol
_atom_site_fract_x
_atom_site_fract_y
_atom_site_fract_z
Sc1 Sc 0.183 0.250 0.161
Tl1 Tl 0.286 0.750 0.747
Te1 Te 0.053 0.250 0.856
Te2 Te 0.244 0.250 0.458
Te3 Te 0.394 0.750 0.126
Au1 Au 0.415 0.750 0.397



# PBE-GGA ScTlTe2Au, optimized geometry
# * total moment: 0.000 μB per formula unit
# * E_form (uncorrected): -0.548 eV/atom
# * DFT total energy: -4.200 eV per atom
# * polymorph energy (0 for the lowest one): 0 meV per atom
data_ScTlTe2Au
_symmetry_space_group_name_H-M 'P 1 2/c 1'
_symmetry_Int_Tables_number 13
_cell_length_a 8.588
_cell_length_b 4.923
_cell_length_c 7.453
_cell_angle_alpha 90.00
_cell_angle_beta 99.78
_cell_angle_gamma 90.00
loop_
_symmetry_equiv_pos_as_xyz
'x,y,z'
'-x,-y,-z'
'-x,y,-z+1/2'
'x,-y,z+1/2'
loop_
_atom_site_label
_atom_site_type_symbol
_atom_site_fract_x
_atom_site_fract_y
_atom_site_fract_z
Sc1 Sc 0.000 0.001 0.250
Tl1 Tl 0.500 0.340 0.250
Te1 Te 0.249 0.159 0.551
Au1 Au 0.000 0.500 0.000



# PBE-GGA Sc2TlTe4Au, optimized geometry
# * total moment: 0.000 μB per formula unit
# * E_form (uncorrected): -0.802 eV/atom
# * DFT total energy: -4.661 eV per atom
data_Sc2TlTe4Au
_symmetry_space_group_name_H-M 'C m c m'
_symmetry_Int_Tables_number 63
_symmetry_space_group_name_Hall '-C 2c 2'
_cell_length_a 4.087
_cell_length_b 15.876
_cell_length_c 15.757
_cell_angle_alpha 90.00
_cell_angle_beta 90.00
_cell_angle_gamma 90.00
loop_
_atom_site_label
_atom_site_type_symbol
_atom_site_fract_x
_atom_site_fract_y
_atom_site_fract_z
Sc1 Sc 0.000 0.098 0.093
Tl1 Tl 0.000 0.323 0.250
Te1 Te 0.000 0.010 0.250
Te2 Te 0.000 0.273 0.602
Te3 Te 0.000 0.500 0.000
Au1 Au 0.000 0.366 0.750



# PBE-GGA ScTlTe2Au, optimized geometry
# * total moment: 0.000 μB per formula unit
# * E_form (uncorrected): 0.098 eV/atom
# * DFT total energy: -3.554 eV per atom
# * polymorph energy (0 for the lowest one): 646 meV per atom
data_ScTlTe2Au
_symmetry_space_group_name_H-M 'P 4/m m m'
_symmetry_Int_Tables_number 123
_symmetry_space_group_name_Hall '-P 4 2'
_cell_length_a 5.448
_cell_length_b 5.448
_cell_length_c 5.885
_cell_angle_alpha 90.00
_cell_angle_beta 90.00
_cell_angle_gamma 90.00
loop_
_atom_site_label
_atom_site_type_symbol
_atom_site_fract_x
_atom_site_fract_y
_atom_site_fract_z
Sc1 Sc 0.000 0.000 0.000
Tl1 Tl 0.000 0.000 0.500
Te1 Te 0.000 0.500 0.000
Au1 Au 0.500 0.500 0.500



# PBE-GGA YScTe2Au, optimized geometry
# * total moment: 0.000 μB per formula unit
# * E_form (uncorrected): 0.410 eV/atom
# * DFT total energy: -4.062 eV per atom
data_YScTe2Au
_symmetry_space_group_name_H-M 'P 4/m m m'
_symmetry_Int_Tables_number 123
_symmetry_space_group_name_Hall '-P 4 2'
_cell_length_a 5.642
_cell_length_b 5.642
_cell_length_c 6.142
_cell_angle_alpha 90.00
_cell_angle_beta 90.00
_cell_angle_gamma 90.00
loop_
_atom_site_label
_atom_site_type_symbol
_atom_site_fract_x
_atom_site_fract_y
_atom_site_fract_z
Y1 Y 0.000 0.000 0.000
Sc1 Sc 0.000 0.000 0.500
Te1 Te 0.000 0.500 0.000
Au1 Au 0.500 0.500 0.500